1.
The following is a GGA-PBE calculation of an optimized crystal structure of ScAl3Ga4, from the Alexandria database.

Calculated values
The space group is C2/m. The energy above the lowest structure with this stoichiometry comes out at 0.0 meV/atom. For the energy of formation from the pure elements, the calculation gives -149 meV/atom.

Cell: 3.9773 3.9969 9.7815 Å, 100.76 101.73 90.00°
Last column: nearest neighbours and their distance in Å.
Element x y z (fractional)
Sc1 0.5000 0.0000 0.0000  8 Al 2.82-2.95, 4 Ga 2.84-2.85
Al1 0.0000 0.5000 0.0000  4 Sc 2.82, 4 Ga 2.84, 4 Al 2.96
Al2 0.1158 0.1060 0.2317  5 Ga 2.65-2.83, 2 Sc 2.95, 2 Al 2.96
Al3 0.8842 0.8940 0.7683  5 Ga 2.65-2.83, 2 Sc 2.95, 2 Al 2.96
Ga1 0.3923 0.4021 0.7846  1 Ga 2.55, 6 Al 2.82-2.84, 2 Sc 2.84-2.85
Ga2 0.6077 0.5979 0.2154  1 Ga 2.55, 6 Al 2.82-2.84, 2 Sc 2.84-2.85
Ga3 0.7431 0.7441 0.4861  5 Ga 2.55-2.83, 1 Al 2.65
Ga4 0.2569 0.2559 0.5139  5 Ga 2.55-2.83, 1 Al 2.65

=====

2.
The following is a GGA-PBE calculation of an optimized crystal structure of NpTl2As2O6, from the Alexandria database.

Calculated values
The space group is C2/m. The formation energy from raw total energies is -1.461 eV/atom.

Cell: 6.9948 6.1084 6.2007 Å, 110.70 90.00 124.93°
Last column: nearest neighbours and their distance in Å.
Element x y z (fractional)
Np1 0.5000 0.0000 0.5000  4 O 2.03
Tl1 0.7125 0.4250 0.1551  3 O 2.71-2.84
Tl2 0.2875 0.5750 0.8449  3 O 2.71-2.84
As1 0.9345 0.8690 0.7522  1 O 1.78
As2 0.0655 0.1310 0.2478  1 O 1.78
O1 0.7506 0.5011 0.7271  1 As 1.78
O2 0.3277 0.0541 0.2850  1 Np 2.03, 1 As 2.17
O3 0.2736 0.9459 0.7150  1 Np 2.03, 1 As 2.17
O4 0.6723 0.9459 0.7150  1 Np 2.03, 1 As 2.17
O5 0.7264 0.0541 0.2850  1 Np 2.03, 1 As 2.17
O6 0.2494 0.4989 0.2729  1 As 1.78

=====

3.
The following is a GGA-PBE calculation of an optimized crystal structure of ZrTa2PtN, from the Alexandria database.

Calculated values
The space group is P4/mmm. The formation energy from raw total energies is -0.816 eV/atom.

Cell: 4.1884 4.1884 4.5208 Å, 90.00 90.00 90.00°
Last column: nearest neighbours and their distance in Å.
Element x y z (fractional)
N1 0.0000 0.0000 0.0000  4 Ta 2.09, 2 Zr 2.26
Zr1 0.0000 0.0000 0.5000  2 N 2.26
Pt1 0.5000 0.5000 0.5000  4 Zr 2.96, 8 Ta 3.08
Ta1 0.0000 0.5000 0.0000  2 N 2.09
Ta2 0.5000 0.0000 0.0000  2 N 2.09

=====

4.
The following is a GGA-PBE calculation of an optimized crystal structure of SrTl3Ag, from the Alexandria database.

Calculated values
The space group is Cm. The energy above the lowest structure with this stoichiometry comes out at 3.4 meV/atom. For the energy of formation from the pure elements, the calculation gives -164 meV/atom.

Cell: 4.7890 4.7890 7.4164 Å, 108.84 108.84 90.29°
Last column: nearest neighbours and their distance in Å.
Element x y z (fractional)
Sr1 0.3886 0.3886 0.7784  4 Ag 3.60-3.64, 8 Tl 3.68-3.88
Tl1 0.6574 0.1585 0.3157  2 Ag 2.96-2.97, 2 Tl 3.16
Tl2 0.1585 0.6574 0.3157  2 Ag 2.96-2.97, 2 Tl 3.16
Tl3 0.0003 0.0003 0.0032  1 Ag 2.78
Ag1 0.7921 0.7921 0.5810  5 Tl 2.78-2.97

=====

5.
The following is a GGA-PBE calculation of an optimized crystal structure of KV2W, from the Alexandria database.

Calculated values
The space group is Fm-3m. The energy above the lowest structure with this stoichiometry comes out at 0.0 meV/atom. For the energy of formation from the pure elements, the calculation gives 1522 meV/atom.

Cell: 4.6766 4.6766 4.6766 Å, 60.00 60.00 60.00°
Last column: nearest neighbours and their distance in Å.
Element x y z (fractional)
K1 0.0000 0.0000 0.0000  8 V 2.86
W1 0.5000 0.5000 0.5000  8 V 2.86
V1 0.2500 0.2500 0.2500  4 W 2.86, 4 K 2.86
V2 0.7500 0.7500 0.7500  4 W 2.86, 4 K 2.86

=====

6.
The following is a GGA-PBE calculation of an optimized crystal structure of Zr3CdN, from the Alexandria database.

Calculated values
The space group is Imma. The formation energy from raw total energies is -0.448 eV/atom.

Cell: 4.9747 12.9538 6.4859 Å, 90.00 90.00 90.00°
Last column: nearest neighbours and their distance in Å.
Element x y z (fractional)
N1 0.5003 0.2500 0.5918  3 Zr 2.10-2.12
N2 0.9997 0.7500 0.0918  3 Zr 2.10-2.12
N3 0.4997 0.7500 0.4082  3 Zr 2.10-2.12
N4 0.0003 0.2500 0.9082  3 Zr 2.10-2.12
Zr1 0.9998 0.8748 0.8843  1 N 2.10
Zr2 0.5002 0.3748 0.3843  1 N 2.10
Zr3 0.5002 0.1252 0.3843  1 N 2.10
Zr4 0.0002 0.3748 0.1157  1 N 2.10
Zr5 0.0002 0.1252 0.1157  1 N 2.10
Zr6 0.4998 0.6252 0.6157  1 N 2.10
Zr7 0.4998 0.8748 0.6157  1 N 2.10
Zr8 0.9998 0.6252 0.8843  1 N 2.10
Zr9 0.5002 0.2500 0.9190  1 N 2.12
Zr10 0.9998 0.7500 0.4190  1 N 2.12
Zr11 0.4998 0.7500 0.0810  1 N 2.12
Zr12 0.0002 0.2500 0.5810  1 N 2.12
Cd1 0.0000 0.0000 0.5000  8 Zr 2.97-3.28
Cd2 0.5000 0.5000 0.0000  8 Zr 2.97-3.28
Cd3 0.5000 0.0000 0.0000  8 Zr 2.97-3.28
Cd4 0.0000 0.5000 0.5000  8 Zr 2.97-3.28

=====

7.
The following is a GGA-PBE calculation of an optimized crystal structure of CaMg2Sb, from the Alexandria database.

Calculated values
The space group is P2/m. The formation energy from raw total energies is -0.245 eV/atom. The energy above the lowest structure with this stoichiometry comes out at 175.3 meV/atom.

Cell: 5.6297 3.4620 5.5495 Å, 86.93 90.00 90.00°
Last column: nearest neighbours and their distance in Å.
Element x y z (fractional)
Ca1 0.5000 0.7500 0.7500  4 Sb 3.19-3.35, 4 Mg 3.38, 2 Ca 3.46
Mg1 0.0000 0.0763 0.0063  2 Mg 3.02-3.03, 2 Sb 3.19, 2 Ca 3.38
Mg2 0.0000 0.4237 0.4937  2 Mg 3.02-3.03, 2 Sb 3.19, 2 Ca 3.38
Sb1 0.5000 0.2500 0.2500  4 Ca 3.19-3.35, 4 Mg 3.19, 2 Sb 3.46

=====

8.
The following is a GGA-PBE calculation of an optimized crystal structure of SiBiBTe, from the Alexandria database.

Calculated values
The space group is P1. The formation energy from raw total energies is 0.392 eV/atom. The energy above the lowest structure with this stoichiometry comes out at 216.8 meV/atom.

Cell: 3.8827 4.8787 6.6792 Å, 80.65 88.73 67.25°
Last column: nearest neighbours and their distance in Å.
Element x y z (fractional)
Si1 0.3591 0.2766 0.3885  1 B 1.95
Te1 0.9580 0.0869 0.1721  1 B 2.32
Bi1 0.6162 0.7492 0.6613  2 B 2.47, 1 Si 2.74
B1 0.1533 0.6884 0.4425  1 Si 1.95

=====

Number 1: calculated volume 149 Å³ per cell. Number 2: calculated volume 196 Å³ per cell. Number 3: calculated volume 79 Å³ per cell. Number 4: calculated volume 151 Å³ per cell. Number 5: calculated volume 72 Å³ per cell. Number 6: calculated volume 418 Å³ per cell. Number 7: calculated volume 108 Å³ per cell. Number 8: calculated volume 115 Å³ per cell.